No. 1
## CeCo2 (SCAN)

Data for a PBEsol-optimized structure of CeCo2.

a b c (Å): 4.9049 4.9049 4.9049
angles (deg): 60.00 60.00 60.00
Last column: nearest neighbours and their distance in Å.
Element x y z (fractional)
Ce1 0.2500 0.2500 0.2500  12 Co 2.88, 4 Ce 3.00
Ce2 0.0000 0.0000 0.0000  12 Co 2.88, 4 Ce 3.00
Co1 0.6250 0.1250 0.6250  6 Co 2.45
Co2 0.6250 0.6250 0.1250  6 Co 2.45
Co3 0.1250 0.6250 0.6250  6 Co 2.45
Co4 0.6250 0.6250 0.6250  6 Co 2.45

ρ ... 10.3 Mg/m³
E_form ... -5.4 kJ/mol of atoms
Total magnetization ... 0.0 μB per formula unit
Calculated volume ... 13.907 Å³/atom

=====

No. 2
## Ta5Al (SCAN)

Data for a PBEsol-optimized structure of Ta5Al.

a b c (Å): 2.7702 2.7702 13.6219
angles (deg): 90.00 90.00 90.00
Last column: nearest neighbours and their distance in Å.
Element x y z (fractional)
Al1 0.5000 0.5000 0.0000  4 Al 2.77, 8 Ta 2.87
Ta1 0.0000 0.0000 0.8462  8 Ta 2.77-3.06, 4 Al 2.87
Ta2 0.0000 0.0000 0.1538  8 Ta 2.77-3.06, 4 Al 2.87
Ta3 0.5000 0.5000 0.6732  12 Ta 2.77-3.07
Ta4 0.5000 0.5000 0.3268  12 Ta 2.77-3.07
Ta5 0.0000 0.0000 0.5000  12 Ta 2.77-3.07

ρ ... 14.8 Mg/m³
E_form ... 1.6 kJ/mol of atoms
Total magnetization ... 0.0 μB per formula unit
Calculated volume ... 17.422 Å³/atom
Energy above the lowest structure with this stoichiometry ... 0.095 eV per atom

=====

No. 3
## HfSc3Sb (SCAN)

Data for a PBEsol-optimized structure of HfSc3Sb.

a b c (Å): 5.2156 5.2156 5.2156
angles (deg): 90.00 90.00 90.00
Last column: nearest neighbours and their distance in Å.
Element x y z (fractional)
Sc1 0.0000 0.5000 0.0000  2 Sb 2.61
Sc2 0.0000 0.0000 0.5000  2 Sb 2.61
Sc3 0.5000 0.0000 0.0000  2 Sb 2.61
Sb1 0.0000 0.0000 0.0000  6 Sc 2.61
Hf1 0.5000 0.5000 0.5000  12 Sc 3.69

ρ ... 5.1 Mg/m³
Final energy ... -28.09 eV/atom
Total magnetization ... 3.6 μB per formula unit
Calculated volume ... 28.375 Å³/atom

=====

No. 4
## Tc2SbTe (SCAN)

Data for a PBEsol-optimized structure of Tc2SbTe.

a b c (Å): 4.5833 4.5833 4.5833
angles (deg): 60.00 60.00 60.00
Last column: nearest neighbours and their distance in Å.
Element x y z (fractional)
Sb1 0.5000 0.5000 0.5000  8 Tc 2.81
Tc1 0.2500 0.2500 0.2500  4 Sb 2.81, 4 Te 2.81
Tc2 0.7500 0.7500 0.7500  4 Sb 2.81, 4 Te 2.81
Te1 0.0000 0.0000 0.0000  8 Tc 2.81

ρ ... 10.9 Mg/m³
Total magnetization ... 0.0 μB per formula unit
Calculated volume ... 17.020 Å³/atom
Energy above the lowest structure with this stoichiometry ... 0.000 eV per atom

=====

No. 5
## K4BaV6O18 (SCAN)

Data for a PBEsol-optimized structure of K4BaV6O18.

a b c (Å): 10.0203 10.0203 10.0203
angles (deg): 85.15 85.15 85.15
Last column: nearest neighbours and their distance in Å.
Element x y z (fractional)
K1 0.4992 0.4992 0.4992  6 O 2.82-2.89
K2 0.9992 0.9992 0.9992  6 O 2.82-2.89
K3 0.0780 0.4965 0.9242  6 O 2.73-2.94
K4 0.9242 0.0780 0.4965  6 O 2.73-2.94
K5 0.4965 0.9242 0.0780  6 O 2.73-2.94
K6 0.5780 0.4242 0.9965  6 O 2.73-2.94
K7 0.9965 0.5780 0.4242  6 O 2.73-2.94
K8 0.4242 0.9965 0.5780  6 O 2.73-2.94
Ba1 0.2598 0.2598 0.2598  9 O 2.77-2.96
Ba2 0.7598 0.7598 0.7598  9 O 2.77-2.96
V1 0.6619 0.1044 0.7928  4 O 1.65-1.78
V2 0.7928 0.6619 0.1044  4 O 1.65-1.78
V3 0.1044 0.7928 0.6619  4 O 1.65-1.78
V4 0.1619 0.2928 0.6044  4 O 1.65-1.78
V5 0.6044 0.1619 0.2928  4 O 1.65-1.78
V6 0.2928 0.6044 0.1619  4 O 1.65-1.78
V7 0.8263 0.4033 0.7073  4 O 1.65-1.78
V8 0.7073 0.8263 0.4033  4 O 1.65-1.78
V9 0.4033 0.7073 0.8263  4 O 1.65-1.78
V10 0.3263 0.2073 0.9033  4 O 1.65-1.78
V11 0.9033 0.3263 0.2073  4 O 1.65-1.78
V12 0.2073 0.9033 0.3263  4 O 1.65-1.78
O1 0.3416 0.6478 0.9901  2 V 1.78
O2 0.9901 0.3416 0.6478  2 V 1.78
O3 0.6478 0.9901 0.3416  2 V 1.78
O4 0.8416 0.4901 0.1478  2 V 1.78
O5 0.1478 0.8416 0.4901  2 V 1.78
O6 0.4901 0.1478 0.8416  2 V 1.78
O7 0.1540 0.5241 0.1771  1 V 1.65
O8 0.1771 0.1540 0.5241  1 V 1.65
O9 0.5241 0.1771 0.1540  1 V 1.65
O10 0.6540 0.6771 0.0241  1 V 1.65
O11 0.0241 0.6540 0.6771  1 V 1.65
O12 0.6771 0.0241 0.6540  1 V 1.65
O13 0.7361 0.2601 0.7615  2 V 1.78
O14 0.7615 0.7361 0.2601  2 V 1.78
O15 0.2601 0.7615 0.7361  2 V 1.78
O16 0.2361 0.2615 0.7601  2 V 1.78
O17 0.7601 0.2361 0.2615  2 V 1.78
O18 0.2615 0.7601 0.2361  2 V 1.78
O19 0.7313 0.0032 0.9111  1 V 1.65
O20 0.9111 0.7313 0.0032  1 V 1.65
O21 0.0032 0.9111 0.7313  1 V 1.65
O22 0.2313 0.4111 0.5032  1 V 1.65
O23 0.5032 0.2313 0.4111  1 V 1.65
O24 0.4111 0.5032 0.2313  1 V 1.65
O25 0.3268 0.3389 0.9928  1 V 1.66
O26 0.9928 0.3268 0.3389  1 V 1.66
O27 0.3389 0.9928 0.3268  1 V 1.66
O28 0.8268 0.4928 0.8390  1 V 1.66
O29 0.8390 0.8268 0.4928  1 V 1.66
O30 0.4928 0.8390 0.8268  1 V 1.66
O31 0.7604 0.5000 0.5849  1 V 1.65
O32 0.5849 0.7604 0.5000  1 V 1.65
O33 0.5000 0.5849 0.7604  1 V 1.65
O34 0.2604 0.0849 0.0000  1 V 1.65
O35 0.0000 0.2604 0.0849  1 V 1.65
O36 0.0849 0.0000 0.2604  1 V 1.65

ρ ... 3.0 Mg/m³
Final energy ... -12.64 eV/atom
Total magnetization ... 0.0 μB per formula unit
Calculated volume ... 17.170 Å³/atom

=====

No. 6
## Sc2SbF (SCAN)

Data for a PBEsol-optimized structure of Sc2SbF.

a b c (Å): 3.1976 3.1976 9.0726
angles (deg): 79.85 79.85 60.00
Last column: nearest neighbours and their distance in Å.
Element x y z (fractional)
Sc1 0.8940 0.8940 0.3181  3 F 2.45
Sc2 0.1060 0.1060 0.6819  3 F 2.45
Sb1 0.0000 0.0000 0.0000  2 Sc 2.83
F1 0.5000 0.5000 0.5000  6 Sc 2.45

ρ ... 4.9 Mg/m³
Final energy ... -18.33 eV/atom
Total magnetization ... 0.0 μB per formula unit
Calculated volume ... 19.664 Å³/atom

=====

No. 7
## ZnCrMo4 (SCAN)

Data for a PBEsol-optimized structure of ZnCrMo4.

a b c (Å): 5.0847 5.0847 5.0847
angles (deg): 60.00 60.00 60.00
Last column: nearest neighbours and their distance in Å.
Element x y z (fractional)
Cr1 0.0000 0.0000 0.0000  12 Mo 2.98, 4 Zn 3.11
Mo1 0.3755 0.3755 0.3755  6 Mo 2.53-2.55
Mo2 0.3755 0.3755 0.8734  6 Mo 2.53-2.55
Mo3 0.8734 0.3755 0.3755  6 Mo 2.53-2.55
Mo4 0.3755 0.8734 0.3755  6 Mo 2.53-2.55
Zn1 0.7500 0.7500 0.7500  12 Mo 2.98, 4 Cr 3.11

ρ ... 9.0 Mg/m³
E_form ... 51.0 kJ/mol of atoms
Total magnetization ... 0.0 μB per formula unit
Calculated volume ... 15.493 Å³/atom

=====

No. 8
## Sr2YAg (SCAN)

Data for a PBEsol-optimized structure of Sr2YAg.

a b c (Å): 4.8395 4.8395 6.4770
angles (deg): 111.94 111.94 90.00
Last column: nearest neighbours and their distance in Å.
Element x y z (fractional)
Ag1 0.0000 0.0000 0.0000  4 Y 3.42, 8 Sr 3.66
Sr1 0.7500 0.2500 0.5000  4 Sr 3.42, 4 Ag 3.66, 4 Y 3.66
Sr2 0.2500 0.7500 0.5000  4 Sr 3.42, 4 Y 3.66, 4 Ag 3.66
Y1 0.5000 0.5000 0.0000  4 Ag 3.42, 8 Sr 3.66

ρ ... 4.8 Mg/m³
E_form ... 21.4 kJ/mol of atoms
Total magnetization ... 0.0 μB per formula unit
Calculated volume ... 32.198 Å³/atom
Energy above the lowest structure with this stoichiometry ... 0.328 eV per atom

=====

No. 9
## MnCu2I (SCAN)

Data for a PBEsol-optimized structure of MnCu2I.

a b c (Å): 4.5398 4.5398 4.5398
angles (deg): 60.00 60.00 60.00
Last column: nearest neighbours and their distance in Å.
Element x y z (fractional)
I1 0.5000 0.5000 0.5000  8 Cu 2.78
Mn1 0.0000 0.0000 0.0000  8 Cu 2.78
Cu1 0.2500 0.2500 0.2500  4 I 2.78, 4 Mn 2.78
Cu2 0.7500 0.7500 0.7500  4 Mn 2.78, 4 I 2.78

ρ ... 7.8 Mg/m³
Final energy ... -20.67 eV/atom
Total magnetization ... 4.0 μB per formula unit
Calculated volume ... 16.540 Å³/atom

=====

No. 10
## LiTeAsBr2 (SCAN)

Data for a PBEsol-optimized structure of LiTeAsBr2.

a b c (Å): 5.1386 5.8187 5.8187
angles (deg): 90.00 90.00 90.00
Last column: nearest neighbours and their distance in Å.
Element x y z (fractional)
As1 0.5000 0.0000 0.0000  2 Te 2.57
Te1 0.0000 0.0000 0.0000  2 As 2.57
Br1 0.0000 0.0000 0.5000  2 Te 2.91
Br2 0.0000 0.5000 0.0000  2 Te 2.91
Li1 0.5000 0.5000 0.5000  8 Br 3.88, 4 As 4.11

ρ ... 3.5 Mg/m³
Final energy ... -19.79 eV/atom
Total magnetization ... 0.0 μB per formula unit
Calculated volume ... 34.796 Å³/atom

=====

No. 11
## MnSiN2F (SCAN)

Data for a PBEsol-optimized structure of MnSiN2F.

a b c (Å): 3.6056 3.6056 3.5451
angles (deg): 90.00 90.00 90.00
Last column: nearest neighbours and their distance in Å.
Element x y z (fractional)
N1 0.0000 0.5000 0.0000  2 Si 1.80
N2 0.5000 0.0000 0.0000  2 Si 1.80
Si1 0.0000 0.0000 0.0000  2 F 1.77, 4 N 1.80
Mn1 0.5000 0.5000 0.5000  8 N 2.53, 4 F 2.55
F1 0.0000 0.0000 0.5000  2 Si 1.77

ρ ... 4.7 Mg/m³
Final energy ... -10.85 eV/atom
Total magnetization ... 4.2 μB per formula unit
Calculated volume ... 9.217 Å³/atom

=====

No. 12
## MgScTeCl2 (SCAN)

Data for a PBEsol-optimized structure of MgScTeCl2.

a b c (Å): 4.8000 4.8000 5.8543
angles (deg): 90.00 90.00 90.00
Last column: nearest neighbours and their distance in Å.
Element x y z (fractional)
Sc1 0.0000 0.0000 0.0000  4 Cl 2.40
Mg1 0.5000 0.5000 0.5000  4 Te 3.39, 8 Cl 3.79
Te1 0.0000 0.0000 0.5000  2 Sc 2.93
Cl1 0.0000 0.5000 0.0000  2 Sc 2.40
Cl2 0.5000 0.0000 0.0000  2 Sc 2.40

ρ ... 3.3 Mg/m³
Final energy ... -15.81 eV/atom
Total magnetization ... 0.0 μB per formula unit
Calculated volume ... 26.976 Å³/atom

=====

What is the formula in the tenth record? LiTeAsBr2

=====

What did the seventh record say?
## ZnCrMo4 (SCAN)

Data for a PBEsol-optimized structure of ZnCrMo4.

a b c (Å): 5.0847 5.0847 5.0847
angles (deg): 60.00 60.00 60.00
Last column: nearest neighbours and their distance in Å.
Element x y z (fractional)
Cr1 0.0000 0.0000 0.0000  12 Mo 2.98, 4 Zn 3.11
Mo1 0.3755 0.3755 0.3755  6 Mo 2.53-2.55
Mo2 0.3755 0.3755 0.8734  6 Mo 2.53-2.55
Mo3 0.8734 0.3755 0.3755  6 Mo 2.53-2.55
Mo4 0.3755 0.8734 0.3755  6 Mo 2.53-2.55
Zn1 0.7500 0.7500 0.7500  12 Mo 2.98, 4 Cr 3.11

ρ ... 9.0 Mg/m³
E_form ... 51.0 kJ/mol of atoms
Total magnetization ... 0.0 μB per formula unit
Calculated volume ... 15.493 Å³/atom

=====

What is the formula in the eighth record? Sr2YAg

=====

Which formula does entry 8 have? Sr2YAg